A relaxed LiCoSeO crystal. Source: OQMD, functional PBE+U.

Output
symmetry = Pmc2_1 (26)
E_tot = -4.730 eV/atom

```
data_LiCoSeO
_chemical_formula_sum 'Li2 Co2 Se2 O2'
_symmetry_space_group_name_H-M 'P 1'
_symmetry_Int_Tables_number 1
_symmetry_space_group_name_Hall 'P 1'
_cell_length_a 3.2976
_cell_length_b 6.6243
_cell_length_c 5.7742
_cell_angle_alpha 90.00
_cell_angle_beta 90.00
_cell_angle_gamma 90.00
loop_
_atom_site_label
_atom_site_type_symbol
_atom_site_fract_x
_atom_site_fract_y
_atom_site_fract_z
Li1 Li 0.0000 0.2153 0.0000
Li2 Li 0.0000 0.7847 0.5000
Co1 Co 0.5000 0.4033 0.6195
Co2 Co 0.5000 0.5967 0.1195
Se1 Se 0.0000 0.1834 0.4601
Se2 Se 0.0000 0.8166 0.9601
O1 O 0.5000 0.3647 0.9386
O2 O 0.5000 0.6353 0.4386
```